The following is a DFT calculation (PBE) of an optimized crystal structure of Pm2SmEr12.

Cell: 6.5478 6.5502 24.4913 Å, 84.49 84.48 64.33°
Last column: nearest neighbours and their distance in Å.
Element x y z (fractional)
Pm  0.0683  0.0658  0.2295  2 Pm 3.49, 12 Er 3.63-3.89
Pm  0.4315  0.4341  0.7704  2 Pm 3.49, 12 Er 3.63-3.89
Pm  0.5685  0.5659  0.2296  2 Pm 3.49, 12 Er 3.63-3.89
Pm  0.9317  0.9342  0.7705  2 Pm 3.49, 12 Er 3.63-3.89
Sm  0.2355  0.7358  0.5001  6 Er 3.30-3.65, 2 Sm 3.50
Sm  0.7645  0.2642  0.4999  6 Er 3.30-3.65, 2 Sm 3.50
Er  0.0516  0.5496  0.2987  7 Er 3.21-3.54
Er  0.0849  0.5818  0.1652  7 Er 3.25-3.49, 4 Pm 3.63
Er  0.1354  0.1356  0.9584  12 Er 3.43-3.58
Er  0.1469  0.6463  0.9132  10 Er 3.36-3.58
Er  0.2163  0.7185  0.6357  6 Er 3.20-3.57, 1 Sm 3.30
Er  0.2322  0.2304  0.5751  9 Er 3.46-3.65, 4 Sm 3.64-3.87
Er  0.2710  0.2664  0.4249  9 Er 3.46-3.65, 4 Sm 3.64-3.86
Er  0.2864  0.7844  0.3646  6 Er 3.20-3.57, 1 Sm 3.30
Er  0.3527  0.8532  0.0868  10 Er 3.36-3.58
Er  0.3651  0.3642  0.0416  12 Er 3.43-3.58
Er  0.4151  0.9182  0.8353  7 Er 3.23-3.49
Er  0.4487  0.9503  0.7024  7 Er 3.20-3.55
Er  0.5513  0.0497  0.2976  7 Er 3.20-3.55
Er  0.5849  0.0818  0.1647  7 Er 3.23-3.49
Er  0.6349  0.6358  0.9584  12 Er 3.43-3.58
Er  0.6473  0.1468  0.9132  10 Er 3.36-3.58
Er  0.7136  0.2156  0.6354  6 Er 3.20-3.57, 1 Sm 3.30
Er  0.7290  0.7336  0.5751  9 Er 3.46-3.65, 4 Sm 3.64-3.86
Er  0.7678  0.7696  0.4249  9 Er 3.46-3.65, 4 Sm 3.64-3.87
Er  0.7837  0.2815  0.3643  6 Er 3.20-3.57, 1 Sm 3.30
Er  0.8531  0.3537  0.0868  10 Er 3.36-3.58
Er  0.8646  0.8644  0.0416  12 Er 3.43-3.58
Er  0.9151  0.4182  0.8348  7 Er 3.25-3.49, 4 Pm 3.63
Er  0.9484  0.4504  0.7013  7 Er 3.21-3.54

Results
Final energy (eV per atom): -4.552
Formation energy (eV/atom): 0.046
Space-group type: P-1 (2)
Magnetization (μB per formula unit): 0.00

***

The following is a DFT calculation (PBE) of an optimized crystal structure of NaSr2MgIr.

Cell: 5.8625 5.8625 5.2003 Å, 90.00 90.00 90.00°
Last column: nearest neighbours and their distance in Å.
Element x y z (fractional)
Na  0.0000  0.0000  0.0000  8 Sr 3.92, 4 Mg 4.15
Sr  0.0000  0.5000  0.5000  2 Ir 2.93
Sr  0.5000  0.0000  0.5000  2 Ir 2.93
Mg  0.5000  0.5000  0.0000  2 Ir 2.60
Ir  0.5000  0.5000  0.5000  2 Mg 2.60

Results
Final energy (eV per atom): -3.121
Formation energy (eV/atom): -0.093
Space-group type: P4/mmm (123)
Distance to the lowest polymorph of the same formula (kJ/mol of formula units): 0
Magnetization (μB per formula unit): 0.00